First-principles (PBE) data for a relaxed TbSn6Os crystal, as listed in the Alexandria database.

- DOS at the Fermi energy: 4.70 states/eV/cell
- Final energy: -0.3658 Ry per atom
- DFT formation energy: 0.008 eV/atom

a b c (Å): 6.3726 6.3726 6.4417
angles (deg): 103.18 103.18 117.74
Fractional coordinates of all 8 atoms:
1 Tb 0.0000 0.0000 0.0000
2 Sn 0.1278 0.6810 0.2507
3 Sn 0.3190 0.8722 0.7493
4 Sn 0.4445 0.4445 0.7116
5 Sn 0.5555 0.5555 0.2884
6 Sn 0.6810 0.1278 0.2507
7 Sn 0.8722 0.3190 0.7493
8 Os 0.0000 0.0000 0.5000